Entry 1:
The following is a DFT calculation (PBE-GGA) of a relaxed structure of Tl5CdSb2.

Cell: 7.263 14.459 4.565 Å, 90.00 90.00 90.00°
Space group Pbam (No. 55)
Asymmetric unit:
Tl 0.000 0.000 0.000 x2
Tl 0.016 0.248 0.000 x4
Tl 0.242 0.875 0.500 x4
Cd 0.000 0.500 0.000 x2
Sb 0.206 0.609 0.500 x4

Calculated values
Magnetization in Bohr magnetons per cell: 0.000
D(E_F) in states/eV/cell: 9.254
Uncorrected formation energy in meV per atom: 15
E in eV per atom: -2.61

=====

Entry 2:
The following is a DFT calculation (PBE-GGA) of a relaxed structure of NiMoAs2.

Cell: 3.374 3.563 5.408 Å, 90.00 108.18 90.00°
Space group Pm (No. 6)
Asymmetric unit:
Ni 0.000 0.000 0.000 x1
Mo 0.811 0.500 0.625 x1
As 0.224 0.000 0.451 x1
As 0.517 0.500 0.034 x1

Calculated values
Magnetization in Bohr magnetons per cell: 0.000
D(E_F) in states/eV/cell: 1.719
E in eV per atom: -6.62

=====

Entry 3:
The following is a DFT calculation (PBE-GGA) of a relaxed structure of Nd2RuI.

Cell: 3.579 3.579 8.505 Å, 90.00 90.00 90.00°
Space group P4/mmm (No. 123)
Asymmetric unit:
Nd 0.000 0.000 0.202 x2
Ru 0.500 0.500 0.000 x1
I 0.500 0.500 0.500 x1

Calculated values
Magnetization in Bohr magnetons per cell: 0.000
D(E_F) in states/eV/cell: 2.606
Uncorrected formation energy in meV per atom: -528
E in eV per atom: -5.62

=====

Q: Which value of magnetization does entry 3 give?
A: 0.000 Bohr magnetons per cell